# 1
VASP calculation (PBE) on an optimized crystal structure of CsHAu3.

abc: 4.7510 4.7510 4.7510
angles: 90.00 90.00 90.00
Element x y z (fractional)
Cs (0.5000, 0.5000, 0.5000)
H (0.0000, 0.0000, 0.0000)
Au (0.0000, 0.5000, 0.0000)
Au (0.0000, 0.0000, 0.5000)
Au (0.5000, 0.0000, 0.0000)

Computed properties:
space-group type = No. 221
VASP energy = -2.305 eV/atom
offset from the most stable computed form = 0 meV/atom

# 2
VASP calculation (PBE) on an optimized crystal structure of Pb2NF.

abc: 4.6353 4.6353 4.6353
angles: 60.00 60.00 60.00
Element x y z (fractional)
Pb (0.2500, 0.2500, 0.2500)
Pb (0.7500, 0.7500, 0.7500)
N (0.0000, 0.0000, 0.0000)
F (0.5000, 0.5000, 0.5000)

Computed properties:
space-group type = No. 225
VASP energy = -4.575 eV/atom
formation energy from raw total energies = -172 meV per atom
offset from the most stable computed form = 229 meV/atom

# 3
VASP calculation (PBE) on an optimized crystal structure of CsKLiH3.

abc: 3.9160 8.7054 8.4104
angles: 102.97 90.00 90.00
Element x y z (fractional)
Cs (0.2500, 0.1867, 0.2171)
Cs (0.7500, 0.8133, 0.7829)
K (0.2500, 0.6489, 0.1656)
K (0.7500, 0.3511, 0.8344)
Li (0.2500, 0.0766, 0.6037)
Li (0.7500, 0.9234, 0.3963)
H (0.7500, 0.8874, 0.1738)
H (0.2500, 0.1126, 0.8262)
H (0.2500, 0.8746, 0.4682)
H (0.7500, 0.1254, 0.5318)
H (0.7500, 0.4354, 0.1688)
H (0.2500, 0.5646, 0.8312)

Computed properties:
space-group type = No. 11
VASP energy = -2.540 eV/atom

# 4
VASP calculation (PBE) on an optimized crystal structure of MnTc5.

abc: 3.8368 3.8395 6.0779
angles: 108.41 90.00 90.00
Site moments in Bohr magnetons follow the coordinates.
Element x y z (fractional)
Mn (0.0000, 0.0000, 0.0000)  1.87
Tc (0.0000, 0.6649, 0.3298)  -0.07
Tc (0.0000, 0.3351, 0.6702)  -0.07
Tc (0.5000, 0.5000, 0.0000)  -0.19
Tc (0.5000, 0.1637, 0.3274)  -0.14
Tc (0.5000, 0.8363, 0.6726)  -0.14

Computed properties:
space-group type = No. 65
VASP energy = -10.083 eV/atom
calculated formation energy = 0.50 eV/f.u.
offset from the most stable computed form = 35 meV/atom

# 5
VASP calculation (PBE) on an optimized crystal structure of YP2O6.

abc: 5.6086 5.6086 6.8746
angles: 65.93 65.93 60.00
Site moments in Bohr magnetons follow the coordinates.
Element x y z (fractional)
Y (0.3328, 0.3328, 0.0016)  0.01
P (0.7317, 0.7317, 0.8050)  0.06
P (0.6014, 0.6014, 0.1957)  0.06
O (0.6454, 0.5414, 0.7651)  0.09
O (0.0481, 0.6454, 0.7651)  0.09
O (0.5414, 0.0481, 0.7651)  0.09
O (0.3803, 0.4943, 0.2352)  0.09
O (0.8903, 0.3803, 0.2352)  0.09
O (0.4943, 0.8903, 0.2352)  0.09

Computed properties:
space-group type = No. 146
VASP energy = -7.579 eV/atom
formation energy from raw total energies = -2353 meV per atom

# 6
VASP calculation (PBE) on an optimized crystal structure of RbBeGa.

abc: 5.9102 5.3747 11.5500
angles: 90.00 90.00 90.00
Element x y z (fractional)
Be (0.1812, 0.5000, 0.0000)
Be (0.8188, 0.5000, 0.0000)
Be (0.6812, 0.0000, 0.5000)
Be (0.3188, 0.0000, 0.5000)
Ga (0.0000, 0.2546, 0.5000)
Ga (0.0000, 0.7454, 0.5000)
Ga (0.5000, 0.7546, 0.0000)
Ga (0.5000, 0.2454, 0.0000)
Rb (0.0000, 0.0000, 0.8230)
Rb (0.0000, 0.0000, 0.1770)
Rb (0.5000, 0.5000, 0.3230)
Rb (0.5000, 0.5000, 0.6770)

Computed properties:
space-group type = No. 71
VASP energy = -2.246 eV/atom
calculated formation energy = 0.98 eV/f.u.
offset from the most stable computed form = 160 meV/atom

| no. | V (Å³/atom) |
| --- | --- |
| 1 | 21.4 |
| 2 | 17.6 |
| 3 | 23.3 |
| 4 | 14.2 |
| 5 | 18.4 |
| 6 | 30.6 |